No. 1
Computed, not measured: an optimized crystal structure of Tb2Si2Ge at the GGA-PBE level of DFT.

Results
The total moment comes out at 0.00 μB per formula unit. The density of states at the Fermi level is 7.60 states/eV/cell. The energy relative to the elements, uncorrected comes out at -0.636 eV/atom.

abc: 10.6458 4.2068 10.6345
angles: 90.00 117.73 90.00
Space group C2/m (No. 12)
One atom of each set of equivalent atoms:
Tb1 0.0993 0.0000 0.4022 (multiplicity 4)
Tb2 0.2008 0.5000 0.1417 (multiplicity 4)
Si1 0.0272 0.0000 0.9075 (multiplicity 4)
Si2 0.1224 0.5000 0.6029 (multiplicity 4)
Ge1 0.0694 0.5000 0.8089 (multiplicity 4)


No. 2
Computed, not measured: an optimized crystal structure of Li3Co at the GGA-PBE level of DFT.

Results
The total moment comes out at 1.29 μB per formula unit. The density of states at the Fermi level is 5.04 states/eV/cell. For the calculated total energy, the calculation gives -0.1104 hartree per atom.

abc: 9.0721 2.4542 5.0111
angles: 90.00 95.67 90.00
Space group C2/m (No. 12)
One atom of each set of equivalent atoms:
Li1 0.0000 0.0000 0.0000 (multiplicity 2)
Li2 0.2429 0.0000 0.7276 (multiplicity 4)
Co1 0.0000 0.5000 0.5000 (multiplicity 2)


No. 3
Computed, not measured: an optimized crystal structure of Cd2CoMo at the GGA-PBE level of DFT.

Results
The total moment comes out at 0.00 μB per formula unit. The density of states at the Fermi level is 7.47 states/eV/cell. For the calculated total energy, the calculation gives -0.1651 hartree per atom.

abc: 2.8171 4.8884 9.9301
angles: 90.00 90.00 90.00
Space group Imm2 (No. 44)
One atom of each set of equivalent atoms:
Cd1 0.0000 0.0000 0.0000 (multiplicity 2)
Cd2 0.0000 0.5000 0.2165 (multiplicity 2)
Co1 0.0000 0.5000 0.7421 (multiplicity 2)
Mo1 0.0000 0.0000 0.4401 (multiplicity 2)


No. 4
Computed, not measured: an optimized crystal structure of Tm2MgAg3Se6 at the GGA-PBE level of DFT.

Results
The total moment comes out at 0.00 μB per formula unit. The density of states at the Fermi level is 7.68 states/eV/cell. The energy relative to the elements, uncorrected comes out at -0.944 eV/atom.

abc: 19.1287 4.0075 7.6057
angles: 90.00 102.45 90.00
Space group C2/m (No. 12)
One atom of each set of equivalent atoms:
Tm1 0.1688 0.0000 0.3357 (multiplicity 4)
Mg1 0.0000 0.5000 0.0000 (multiplicity 2)
Ag1 0.0000 0.5000 0.5000 (multiplicity 2)
Ag2 0.2026 0.0000 0.8717 (multiplicity 4)
Se1 0.0156 0.0000 0.2683 (multiplicity 4)
Se2 0.1459 0.5000 0.0663 (multiplicity 4)
Se3 0.1786 0.5000 0.6007 (multiplicity 4)


No. 5
Computed, not measured: an optimized crystal structure of DyFeRh2 at the GGA-PBE level of DFT.

Results
The total moment comes out at 4.30 μB per formula unit. The density of states at the Fermi level is 3.77 states/eV/cell. For the calculated total energy, the calculation gives -0.2686 hartree per atom.

abc: 4.3674 4.3674 3.4890
angles: 90.00 90.00 90.00
Space group P4/mmm (No. 123)
One atom of each set of equivalent atoms:
Dy1 0.0000 0.0000 0.0000 (multiplicity 1)
Fe1 0.5000 0.5000 0.0000 (multiplicity 1)
Rh1 0.0000 0.5000 0.5000 (multiplicity 2)


No. 6
Computed, not measured: an optimized crystal structure of TaP2Br at the GGA-PBE level of DFT.

Results
The total moment comes out at 0.00 μB per formula unit. The density of states at the Fermi level is 3.31 states/eV/cell. The energy relative to the elements, uncorrected comes out at 0.703 eV/atom.

abc: 4.8443 4.8443 2.8901
angles: 90.00 90.00 90.00
Space group P4/mmm (No. 123)
One atom of each set of equivalent atoms:
Ta1 0.0000 0.0000 0.0000 (multiplicity 1)
P1 0.0000 0.5000 0.5000 (multiplicity 2)
Br1 0.5000 0.5000 0.0000 (multiplicity 1)


No. 7
Computed, not measured: an optimized crystal structure of DyTl3Sb2Te6 at the GGA-PBE level of DFT.

Results
The total moment comes out at 0.00 μB per formula unit. The energy relative to the elements, uncorrected comes out at -0.500 eV/atom.

abc: 7.7778 13.4701 8.4269
angles: 90.00 107.91 90.00
Space group C2/m (No. 12)
One atom of each set of equivalent atoms:
Dy1 0.0000 0.0000 0.0000 (multiplicity 2)
Tl1 0.0000 0.1649 0.5000 (multiplicity 4)
Tl2 0.0000 0.5000 0.5000 (multiplicity 2)
Sb1 0.0000 0.3336 0.0000 (multiplicity 4)
Te1 0.2367 0.5000 0.2116 (multiplicity 4)
Te2 0.2385 0.1668 0.2144 (multiplicity 8)


No. 8
Computed, not measured: an optimized crystal structure of Zr2TiH8 at the GGA-PBE level of DFT.

Results
The total moment comes out at 0.00 μB per formula unit. The density of states at the Fermi level is 4.06 states/eV/cell. For the calculated total energy, the calculation gives -0.1870 hartree per atom.

abc: 3.1807 4.3399 12.1640
angles: 90.00 90.00 90.00
Space group Immm (No. 71)
One atom of each set of equivalent atoms:
Zr1 0.0000 0.0000 0.1510 (multiplicity 4)
Ti1 0.0000 0.0000 0.5000 (multiplicity 2)
H1 0.0000 0.2251 0.3711 (multiplicity 8)
H2 0.0000 0.2514 0.0000 (multiplicity 4)
H3 0.0000 0.5000 0.2362 (multiplicity 4)


No. 9
Computed, not measured: an optimized crystal structure of KAgPd at the GGA-PBE level of DFT.

Results
The total moment comes out at 0.00 μB per formula unit. The density of states at the Fermi level is 2.37 states/eV/cell. For the calculated total energy, the calculation gives -0.1091 hartree per atom.

abc: 4.2574 4.8242 9.5524
angles: 97.98 90.78 116.06
Space group P-1 (No. 2)
One atom of each set of equivalent atoms:
K1 0.1605 0.3411 0.1788 (multiplicity 2)
Ag1 0.1624 0.3219 0.5473 (multiplicity 2)
Pd1 0.4884 0.9677 0.6364 (multiplicity 2)


No. 10
Computed, not measured: an optimized crystal structure of Mg4Mo5 at the GGA-PBE level of DFT.

Results
The total moment comes out at 0.00 μB per formula unit. The density of states at the Fermi level is 12.94 states/eV/cell. For the calculated total energy, the calculation gives -0.2288 hartree per atom.

abc: 8.0766 8.0766 5.4091
angles: 90.00 90.00 120.00
Space group P6_3/mcm (No. 193)
One atom of each set of equivalent atoms:
Mg1 0.0000 0.0000 0.0000 (multiplicity 2)
Mg2 0.0000 0.2943 0.2500 (multiplicity 6)
Mo1 0.0000 0.3878 0.7500 (multiplicity 6)
Mo2 0.3333 0.6667 0.0000 (multiplicity 4)


No. 11
Computed, not measured: an optimized crystal structure of BaZn2Pb2 at the GGA-PBE level of DFT.

Results
The total moment comes out at 0.14 μB per formula unit. The density of states at the Fermi level is 8.05 states/eV/cell. For the calculated total energy, the calculation gives -0.0876 hartree per atom.

abc: 8.9766 8.9766 3.5159
angles: 90.00 90.00 90.00
Space group P4/mbm (No. 127)
One atom of each set of equivalent atoms:
Ba1 0.0000 0.0000 0.0000 (multiplicity 2)
Zn1 0.1572 0.3428 0.5000 (multiplicity 4)
Pb1 0.1323 0.6323 0.0000 (multiplicity 4)


No. 12
Computed, not measured: an optimized crystal structure of Th2NiPt at the GGA-PBE level of DFT.

Results
The total moment comes out at 0.00 μB per formula unit. The density of states at the Fermi level is 6.82 states/eV/cell. For the calculated total energy, the calculation gives -0.2747 hartree per atom.

abc: 5.9031 4.3856 7.7151
angles: 90.00 109.95 90.00
Space group P2_1/m (No. 11)
One atom of each set of equivalent atoms:
Th1 0.2232 0.2500 0.4362 (multiplicity 2)
Th2 0.2304 0.2500 0.9274 (multiplicity 2)
Ni1 0.3203 0.7500 0.7051 (multiplicity 2)
Pt1 0.3218 0.7500 0.2067 (multiplicity 2)